[1]
The following is a DFT calculation (PBE-GGA) of SrTiBi after structural relaxation.

Symmetry   Cmmm (65)

The structure in CIF format:
```
data_SrTiBi
_space_group_name_H-M_alt 'P 1'
_space_group_IT_number 1
_space_group_name_Hall 'P 1'
_cell_length_a 3.9652
_cell_length_b 3.9652
_cell_length_c 11.5207
_cell_angle_alpha 90.00
_cell_angle_beta 90.00
_cell_angle_gamma 90.14
loop_
_atom_site_label
_atom_site_fract_x
_atom_site_fract_y
_atom_site_fract_z
_atom_site_occupancy
Sr1 0.0000 0.0000 0.1874 1
Sr2 0.0000 0.0000 0.8126 1
Ti1 0.5000 0.5000 0.4067 1
Ti2 0.5000 0.5000 0.5933 1
Bi1 0.0000 0.0000 0.5000 1
Bi2 0.5000 0.5000 0.0000 1
```


[2]
The following is a DFT calculation (PBE-GGA) of Th3AsSe3 after structural relaxation.

Symmetry   Imma (74)
Formation energy without anion corrections   -1.54 eV/atom

The structure in CIF format:
```
data_Th3AsSe3
_space_group_name_H-M_alt 'P 1'
_space_group_IT_number 1
_space_group_name_Hall 'P 1'
_cell_length_a 8.3767
_cell_length_b 8.3767
_cell_length_c 8.3767
_cell_angle_alpha 119.81
_cell_angle_beta 119.65
_cell_angle_gamma 90.46
loop_
_atom_site_label
_atom_site_fract_x
_atom_site_fract_y
_atom_site_fract_z
_atom_site_occupancy
Th1 0.2509 0.0009 0.2500 1
Th2 0.2550 0.0000 0.7550 1
Th3 0.2550 0.5000 0.2550 1
Th4 0.7450 0.0000 0.2450 1
Th5 0.7450 0.5000 0.7450 1
Th6 0.7491 0.9991 0.7500 1
As1 0.4929 0.7429 0.7500 1
As2 0.5071 0.2571 0.2500 1
Se1 0.0000 0.2519 0.2519 1
Se2 0.0000 0.7481 0.7481 1
Se3 0.0090 0.2590 0.7500 1
Se4 0.5000 0.2519 0.7519 1
Se5 0.5000 0.7481 0.2481 1
Se6 0.9910 0.7410 0.2500 1
```


Calculated E, -27.40, -96.31 eV for the cell shown (same order as the records).